Density functional theory data (PBE-GGA) for a relaxed structure of Hf2Tl4Cu.

extended XYZ file:
```
7
Lattice="-2.6516 2.6516 7.0022 2.6516 -2.6516 7.0022 2.6516 2.6516 -7.0022" Properties=species:S:1:pos:R:3 pbc="T T T"
Hf 0.0000 0.0000 1.3829
Hf 0.0000 0.0000 12.6216
Tl 2.6516 0.0000 0.0000
Tl 0.0000 0.0000 4.3359
Tl 0.0000 2.6516 0.0000
Tl 0.0000 0.0000 9.6685
Cu 0.0000 0.0000 7.0022
```

Properties
ΔE_f   0.536 eV per atom
Size of the total moment   0.0 μB/cell

---

Density functional theory data (PBE-GGA) for a relaxed structure of HfTlCu.

extended XYZ file:
```
6
Lattice="2.3263 -4.0376 0.0000 2.3263 4.0376 0.0000 0.0000 0.0000 6.0810" Properties=species:S:1:pos:R:3 pbc="T T T"
Hf 2.3263 2.6899 4.5607
Hf 2.3263 -2.6899 1.5202
Tl 2.3263 0.0000 0.0000
Tl 2.3263 0.0000 3.0405
Cu 2.3263 2.6959 1.5202
Cu 2.3263 -2.6959 4.5607
```

Properties
ΔE_f   0.135 eV per atom
Size of the total moment   0.0 μB/cell

---

Density functional theory data (PBE-GGA) for a relaxed structure of HfTlCu.

extended XYZ file:
```
6
Lattice="4.4672 0.0000 0.0000 -2.2336 3.8687 0.0000 0.0000 0.0000 6.7266" Properties=species:S:1:pos:R:3 pbc="T T T"
Hf 0.0000 0.0000 0.0000
Hf 0.0000 0.0000 3.3633
Tl 0.0000 2.5791 1.7726
Tl 2.2336 1.2896 5.1359
Cu 0.0000 2.5791 4.5263
Cu 2.2336 1.2896 1.1630
```

Properties
ΔE_f   0.058 eV per atom
Size of the total moment   0.0 μB/cell

---

Density functional theory data (PBE-GGA) for a relaxed structure of HfTl2Cu.

extended XYZ file:
```
8
Lattice="-3.8315 3.8315 3.0306 3.8315 -3.8315 3.0306 3.8315 3.8315 -3.0306" Properties=species:S:1:pos:R:3 pbc="T T T"
Hf 0.0000 0.0000 0.0000
Hf 0.0000 3.8315 1.5153
Tl 1.9158 -1.6421 2.2729
Tl 2.1895 1.9158 0.7576
Tl 1.9158 5.4736 -0.7576
Tl 1.6421 1.9158 3.7882
Cu 3.8315 0.0000 1.5153
Cu 0.0000 0.0000 3.0306
```

Properties
ΔE_f   0.383 eV per atom
Size of the total moment   0.0 μB/cell
ΔE to the lowest computed polymorph   0.000 eV/atom

---

Density functional theory data (PBE-GGA) for a relaxed structure of Hf2TlCu.

extended XYZ file:
```
4
Lattice="1.6287 0.9404 9.1117 -1.6287 0.9404 9.1117 0.0000 -1.8807 9.1117" Properties=species:S:1:pos:R:3 pbc="T T T"
Hf 0.0000 0.0000 6.5460
Hf 0.0000 0.0000 20.7890
Tl 0.0000 0.0000 0.0000
Cu 0.0000 0.0000 13.6675
```

Properties
ΔE_f   0.160 eV per atom
Size of the total moment   0.0 μB/cell
ΔE to the lowest computed polymorph   0.135 eV/atom

---

Density functional theory data (PBE-GGA) for a relaxed structure of HfTlCu.

extended XYZ file:
```
6
Lattice="3.2691 0.0000 0.0000 -1.6316 5.6598 0.0000 -1.6240 -1.5360 6.4396" Properties=species:S:1:pos:R:3 pbc="T T T"
Hf 0.0000 0.0000 0.0000
Hf 0.0095 -0.5042 3.9674
Tl -1.6233 2.1354 4.6608
Tl 0.0062 3.4535 1.8781
Cu 0.0141 0.6654 6.4153
Cu 1.6381 0.9349 2.1487
```

Properties
ΔE_f   0.116 eV per atom
Size of the total moment   0.0 μB/cell

---

Density functional theory data (PBE-GGA) for a relaxed structure of HfTlCu.

extended XYZ file:
```
12
Lattice="6.3847 0.0000 0.0000 0.0000 3.4641 0.0000 0.0000 0.0000 10.6108" Properties=species:S:1:pos:R:3 pbc="T T T"
Hf 0.8751 0.8660 0.9122
Hf 2.3173 2.5981 6.2176
Hf 4.0675 0.8660 4.3932
Hf 5.5097 2.5981 9.6986
Tl 0.8085 0.8660 4.1109
Tl 2.3839 2.5981 9.4163
Tl 4.0009 0.8660 1.1945
Tl 5.5763 2.5981 6.4999
Cu 0.6288 0.8660 8.1194
Cu 2.5636 2.5981 2.8140
Cu 3.8212 0.8660 7.7968
Cu 5.7560 2.5981 2.4914
```

Properties
ΔE_f   0.147 eV per atom
Size of the total moment   0.0 μB/cell

---

Density functional theory data (PBE-GGA) for a relaxed structure of HfTlCu.

extended XYZ file:
```
6
Lattice="3.4126 0.0000 0.0000 0.0000 10.7317 0.0000 0.0000 0.0000 3.4111" Properties=species:S:1:pos:R:3 pbc="T T T"
Hf 0.0000 0.9401 0.0000
Hf 1.7063 9.7916 1.7055
Tl 0.0000 4.1639 3.4041
Tl 1.7063 6.5678 1.6986
Cu 0.0000 8.4097 0.0024
Cu 1.7063 2.3220 1.7079
```

Properties
ΔE_f   0.017 eV per atom
Size of the total moment   0.0 μB/cell

---

Density functional theory data (PBE-GGA) for a relaxed structure of HfTlCu.

extended XYZ file:
```
6
Lattice="5.3668 0.0000 0.0000 0.0000 3.2070 0.0000 -0.4520 0.0000 7.0295" Properties=species:S:1:pos:R:3 pbc="T T T"
Hf 0.3682 0.8017 2.3447
Hf 4.5466 2.4052 4.6847
Tl 1.8546 0.8017 5.1226
Tl 3.0602 2.4052 1.9068
Cu 0.9615 2.4052 0.1119
Cu 3.9533 0.8017 6.9176
```

Properties
ΔE_f   0.119 eV per atom
Size of the total moment   0.0 μB/cell

---

Density functional theory data (PBE-GGA) for a relaxed structure of Hf2TlCu.

extended XYZ file:
```
4
Lattice="0.0000 3.4075 3.4075 3.4075 0.0000 3.4075 3.4075 3.4075 0.0000" Properties=species:S:1:pos:R:3 pbc="T T T"
Hf 1.7038 1.7038 1.7038
Hf 5.1113 5.1113 5.1113
Tl 0.0000 0.0000 0.0000
Cu 3.4075 3.4075 3.4075
```

Properties
ΔE_f   0.107 eV per atom
Size of the total moment   0.0 μB/cell
ΔE to the lowest computed polymorph   0.083 eV/atom

---

Density functional theory data (PBE-GGA) for a relaxed structure of HfTlCu.

extended XYZ file:
```
6
Lattice="4.2279 0.0000 0.0000 -2.1140 3.6615 0.0000 0.0000 0.0000 11.2537" Properties=species:S:1:pos:R:3 pbc="T T T"
Hf 0.0000 0.0000 0.0000
Hf 0.0000 0.0000 5.6269
Tl 0.0000 0.0000 2.8134
Tl 0.0000 0.0000 8.4403
Cu 0.0000 2.4410 2.8134
Cu 2.1140 1.2205 8.4403
```

Properties
ΔE_f   1.426 eV per atom
Size of the total moment   0.0 μB/cell

---

Density functional theory data (PBE-GGA) for a relaxed structure of Hf2TlCu.

extended XYZ file:
```
8
Lattice="-3.7749 3.7749 2.9985 3.7749 -3.7749 2.9985 3.7749 3.7749 -2.9985" Properties=species:S:1:pos:R:3 pbc="T T T"
Hf 5.6623 1.5780 -0.7496
Hf 1.5780 1.8874 0.7496
Hf -1.8874 2.1969 2.2489
Hf 2.1969 1.8874 3.7481
Tl 3.7749 0.0000 1.4992
Tl 0.0000 0.0000 2.9985
Cu 0.0000 0.0000 0.0000
Cu 0.0000 3.7749 1.4992
```

Properties
ΔE_f   0.338 eV per atom
Size of the total moment   0.0 μB/cell
ΔE to the lowest computed polymorph   0.314 eV/atom

---

Density functional theory data (PBE-GGA) for a relaxed structure of HfTl2Cu.

extended XYZ file:
```
4
Lattice="0.0000 3.4974 3.4974 3.4974 0.0000 3.4974 3.4974 3.4974 0.0000" Properties=species:S:1:pos:R:3 pbc="T T T"
Hf 0.0000 0.0000 0.0000
Tl 1.7487 1.7487 1.7487
Tl 5.2461 5.2461 5.2461
Cu 3.4974 3.4974 3.4974
```

Properties
ΔE_f   0.417 eV per atom
Size of the total moment   0.0 μB/cell
ΔE to the lowest computed polymorph   0.034 eV/atom

---

Density functional theory data (PBE-GGA) for a relaxed structure of HfTlCu.

extended XYZ file:
```
12
Lattice="8.8722 0.0000 0.0000 0.0000 4.3191 0.0000 0.0000 0.0000 6.3458" Properties=species:S:1:pos:R:3 pbc="T T T"
Hf 1.0659 1.0798 1.4412
Hf 3.3702 3.2393 4.6141
Hf 5.5020 1.0798 1.7317
Hf 7.8063 3.2393 4.9047
Tl 1.1196 1.0798 4.8293
Tl 3.3165 3.2393 1.6564
Tl 5.5557 1.0798 4.6895
Tl 7.7526 3.2393 1.5166
Cu 1.0691 3.2393 3.1589
Cu 3.3670 1.0798 6.3318
Cu 5.5052 3.2393 0.0141
Cu 7.8031 1.0798 3.1870
```

Properties
ΔE_f   0.166 eV per atom
Size of the total moment   0.0 μB/cell

---

Density functional theory data (PBE-GGA) for a relaxed structure of HfTlCu.

extended XYZ file:
```
6
Lattice="3.6967 0.0000 0.0000 0.0031 5.5034 0.0000 1.8451 0.6824 5.9074" Properties=species:S:1:pos:R:3 pbc="T T T"
Hf 0.9252 2.1027 1.1795
Hf 4.6197 4.0830 4.7279
Tl 2.7684 1.6353 3.7100
Tl 2.7765 4.5504 2.1974
Cu 0.9266 4.6786 0.2154
Cu 4.6183 1.5071 5.6919
```

Properties
ΔE_f   0.114 eV per atom
Size of the total moment   0.0 μB/cell

---

Density functional theory data (PBE-GGA) for a relaxed structure of Hf2TlCu.

extended XYZ file:
```
4
Lattice="3.1683 0.0000 0.0000 0.0000 3.1683 0.0000 0.0000 0.0000 7.8548" Properties=species:S:1:pos:R:3 pbc="T T T"
Hf 0.0000 0.0000 1.7052
Hf 0.0000 0.0000 6.1496
Tl 1.5841 1.5841 3.9274
Cu 1.5841 1.5841 0.0000
```

Properties
ΔE_f   0.025 eV per atom
Size of the total moment   0.0 μB/cell
ΔE to the lowest computed polymorph   0.000 eV/atom

---

Density functional theory data (PBE-GGA) for a relaxed structure of Hf2ZrTlCu.

extended XYZ file:
```
5
Lattice="4.8759 0.0000 0.0000 0.0000 4.8759 0.0000 0.0000 0.0000 4.9385" Properties=species:S:1:pos:R:3 pbc="T T T"
Hf 0.0000 2.4380 0.0000
Hf 2.4380 0.0000 0.0000
Zr 0.0000 0.0000 2.4693
Tl 2.4380 2.4380 2.4693
Cu 0.0000 0.0000 0.0000
```

Properties
ΔE_f   0.379 eV per atom
Size of the total moment   0.0 μB/cell

---

Density functional theory data (PBE-GGA) for a relaxed structure of Tm4HfCu5.

extended XYZ file:
```
10
Lattice="3.3672 0.0000 0.0000 0.0000 3.3672 0.0000 0.0000 0.0000 17.0429" Properties=species:S:1:pos:R:3 pbc="T T T"
Tm 0.0000 0.0000 1.7427
Tm 0.0000 0.0000 5.2143
Tm 0.0000 0.0000 11.8286
Tm 0.0000 0.0000 15.3003
Hf 0.0000 0.0000 8.5215
Cu 1.6836 1.6836 0.0000
Cu 1.6836 1.6836 3.4826
Cu 1.6836 1.6836 7.0767
Cu 1.6836 1.6836 9.9662
Cu 1.6836 1.6836 13.5603
```

Properties
ΔE_f   -0.246 eV per atom
Size of the total moment   0.0 μB/cell

---

Density functional theory data (PBE-GGA) for a relaxed structure of TmHfCu2.

extended XYZ file:
```
4
Lattice="0.0000 3.3233 3.3233 3.3233 0.0000 3.3233 3.3233 3.3233 0.0000" Properties=species:S:1:pos:R:3 pbc="T T T"
Tm 0.0000 0.0000 0.0000
Hf 3.3233 3.3233 3.3233
Cu 1.6617 1.6617 1.6617
Cu 4.9850 4.9850 4.9850
```

Properties
ΔE_f   -0.130 eV per atom
Size of the total moment   0.0 μB/cell
ΔE to the lowest computed polymorph   0.041 eV/atom

---

Density functional theory data (PBE-GGA) for a relaxed structure of TmHfCu.

extended XYZ file:
```
3
Lattice="-1.6469 1.6469 5.7654 1.6469 -1.6469 5.7654 1.6469 1.6469 -5.7654" Properties=species:S:1:pos:R:3 pbc="T T T"
Tm 0.0000 0.0000 0.0000
Hf 0.0000 0.0000 3.4861
Cu 0.0000 0.0000 7.7542
```

Properties
ΔE_f   -0.077 eV per atom
Size of the total moment   0.0 μB/cell
ΔE to the lowest computed polymorph   0.000 eV/atom